Entry 1:
Computed, not measured: a relaxed Sr12Pb3O5 crystal at the PBE level of DFT. Values from VASP.

Cell and atoms, written as Quantum ESPRESSO input:
```
&SYSTEM
  ibrav = 0, nat = 80, ntyp = 3
/
ATOMIC_SPECIES
Sr 87.62 Sr.upf
Pb 207.20 Pb.upf
O 16.00 O.upf
CELL_PARAMETERS angstrom
-8.550 8.550 8.550
8.550 -8.550 8.550
8.550 8.550 -8.550
ATOMIC_POSITIONS crystal
Sr 0.012 0.198 0.115
Sr 0.012 0.315 0.897
Sr 0.083 0.698 0.685
Sr 0.083 0.885 0.397
Sr 0.103 0.615 0.417
Sr 0.103 0.988 0.685
Sr 0.115 0.012 0.198
Sr 0.115 0.603 0.917
Sr 0.185 0.198 0.583
Sr 0.185 0.488 0.603
Sr 0.198 0.115 0.012
Sr 0.198 0.583 0.185
Sr 0.302 0.315 0.917
Sr 0.302 0.488 0.385
Sr 0.315 0.897 0.012
Sr 0.315 0.917 0.302
Sr 0.385 0.302 0.488
Sr 0.385 0.583 0.897
Sr 0.397 0.083 0.885
Sr 0.397 0.815 0.512
Sr 0.417 0.103 0.615
Sr 0.417 0.815 0.802
Sr 0.488 0.385 0.302
Sr 0.488 0.603 0.185
Sr 0.512 0.397 0.815
Sr 0.512 0.615 0.698
Sr 0.583 0.185 0.198
Sr 0.583 0.897 0.385
Sr 0.603 0.185 0.488
Sr 0.603 0.917 0.115
Sr 0.615 0.417 0.103
Sr 0.615 0.698 0.512
Sr 0.685 0.083 0.698
Sr 0.685 0.103 0.988
Sr 0.698 0.512 0.615
Sr 0.698 0.685 0.083
Sr 0.802 0.417 0.815
Sr 0.802 0.885 0.988
Sr 0.815 0.512 0.397
Sr 0.815 0.802 0.417
Sr 0.885 0.397 0.083
Sr 0.885 0.988 0.802
Sr 0.897 0.012 0.315
Sr 0.897 0.385 0.583
Sr 0.917 0.115 0.603
Sr 0.917 0.302 0.315
Sr 0.988 0.685 0.103
Sr 0.988 0.802 0.885
Pb 0.125 0.250 0.375
Pb 0.125 0.375 0.750
Pb 0.250 0.375 0.125
Pb 0.250 0.875 0.625
Pb 0.375 0.125 0.250
Pb 0.375 0.750 0.125
Pb 0.625 0.250 0.875
Pb 0.625 0.875 0.750
Pb 0.750 0.125 0.375
Pb 0.750 0.625 0.875
Pb 0.875 0.625 0.250
Pb 0.875 0.750 0.625
O 0.000 0.000 0.000
O 0.000 0.000 0.500
O 0.000 0.500 0.000
O 0.000 0.500 0.500
O 0.125 0.750 0.875
O 0.125 0.875 0.250
O 0.250 0.125 0.875
O 0.250 0.625 0.375
O 0.375 0.250 0.625
O 0.375 0.625 0.750
O 0.500 0.000 0.000
O 0.500 0.000 0.500
O 0.500 0.500 0.000
O 0.500 0.500 0.500
O 0.625 0.375 0.250
O 0.625 0.750 0.375
O 0.750 0.375 0.625
O 0.750 0.875 0.125
O 0.875 0.125 0.750
O 0.875 0.250 0.125
```

Output
ΔE_f (raw) = -1462 meV per atom
SG = Ia-3d (230)
spin magnetization = 0.0 μB/f.u.
theoretical density = 4.66 g cm⁻³
final energy = -0.157 hartree per atom

Entry 2:
Computed, not measured: a relaxed BaZr2HgCl crystal at the PBE level of DFT. Values from VASP.

Cell and atoms, written as Quantum ESPRESSO input:
```
&SYSTEM
  ibrav = 0, nat = 5, ntyp = 4
/
ATOMIC_SPECIES
Ba 137.33 Ba.upf
Zr 91.22 Zr.upf
Hg 200.59 Hg.upf
Cl 35.45 Cl.upf
CELL_PARAMETERS angstrom
5.355 0.000 0.000
0.000 5.355 0.000
0.000 0.000 6.899
ATOMIC_POSITIONS crystal
Ba 0.000 0.000 0.000
Zr 0.000 0.500 0.500
Zr 0.500 0.000 0.500
Hg 0.000 0.000 0.500
Cl 0.500 0.500 0.000
```

Output
ΔE_f (raw) = 424 meV per atom
SG = P4/mmm (123)
spin magnetization = 2.8 μB/f.u.
theoretical density = 4.67 g cm⁻³
final energy = -0.140 hartree per atom

Entry 3:
Computed, not measured: a relaxed AcGdEr crystal at the PBE level of DFT. Values from VASP.

Cell and atoms, written as Quantum ESPRESSO input:
```
&SYSTEM
  ibrav = 0, nat = 3, ntyp = 3
/
ATOMIC_SPECIES
Ac 227.00 Ac.upf
Gd 157.25 Gd.upf
Er 167.26 Er.upf
CELL_PARAMETERS angstrom
3.731 0.000 0.000
-1.865 3.231 0.000
0.000 0.000 8.896
ATOMIC_POSITIONS crystal
Ac 0.000 0.000 0.000
Gd 0.667 0.333 0.347
Er 0.333 0.667 0.662
```

Output
SG = P3m1 (156)
energy relative to the elements = 0.18 eV per formula unit
polymorph energy (0 for the lowest one) = 2.8 meV per atom
spin magnetization = 7.5 μB/f.u.
theoretical density = 8.54 g cm⁻³
final energy = -0.276 hartree per atom

Entry 4:
Computed, not measured: a relaxed ZnCo2Pt crystal at the PBE level of DFT. Values from VASP.

Cell and atoms, written as Quantum ESPRESSO input:
```
&SYSTEM
  ibrav = 0, nat = 4, ntyp = 3
/
ATOMIC_SPECIES
Zn 65.41 Zn.upf
Co 58.93 Co.upf
Pt 195.08 Pt.upf
CELL_PARAMETERS angstrom
3.636 0.000 0.000
0.000 3.636 0.000
0.000 0.000 3.931
ATOMIC_POSITIONS crystal
Zn 0.000 0.000 0.000
Co 0.000 0.500 0.500
Co 0.500 0.000 0.500
Pt 0.500 0.500 0.000
```

Output
SG = P4/mmm (123)
energy relative to the elements = -0.38 eV per formula unit
spin magnetization = 3.5 μB/f.u.
theoretical density = 12.09 g cm⁻³
final energy = -0.201 hartree per atom

Entry 5:
Computed, not measured: a relaxed Zr3TiIn4 crystal at the PBE level of DFT. Values from VASP.

Cell and atoms, written as Quantum ESPRESSO input:
```
&SYSTEM
  ibrav = 0, nat = 8, ntyp = 3
/
ATOMIC_SPECIES
Zr 91.22 Zr.upf
Ti 47.87 Ti.upf
In 114.82 In.upf
CELL_PARAMETERS angstrom
3.760 0.000 0.000
0.000 3.760 0.000
0.000 0.000 12.280
ATOMIC_POSITIONS crystal
Zr 0.000 0.000 0.000
Zr 0.000 0.000 0.255
Zr 0.000 0.000 0.745
Ti 0.000 0.000 0.500
In 0.500 0.500 0.127
In 0.500 0.500 0.382
In 0.500 0.500 0.618
In 0.500 0.500 0.873
```

Output
SG = P4/mmm (123)
energy relative to the elements = -1.26 eV per formula unit
spin magnetization = 0.0 μB/f.u.
theoretical density = 7.47 g cm⁻³
final energy = -0.210 hartree per atom

Entry 6:
Computed, not measured: a relaxed Tb2DyCd crystal at the PBE level of DFT. Values from VASP.

Cell and atoms, written as Quantum ESPRESSO input:
```
&SYSTEM
  ibrav = 0, nat = 16, ntyp = 3
/
ATOMIC_SPECIES
Tb 158.93 Tb.upf
Dy 162.50 Dy.upf
Cd 112.41 Cd.upf
CELL_PARAMETERS angstrom
7.705 0.000 0.000
0.000 7.705 0.000
0.000 0.000 7.705
ATOMIC_POSITIONS crystal
Tb 0.250 0.250 0.250
Tb 0.250 0.250 0.750
Tb 0.250 0.750 0.250
Tb 0.250 0.750 0.750
Tb 0.750 0.250 0.250
Tb 0.750 0.250 0.750
Tb 0.750 0.750 0.250
Tb 0.750 0.750 0.750
Dy 0.000 0.000 0.000
Dy 0.000 0.500 0.500
Dy 0.500 0.000 0.500
Dy 0.500 0.500 0.000
Cd 0.000 0.000 0.500
Cd 0.000 0.500 0.000
Cd 0.500 0.000 0.000
Cd 0.500 0.500 0.500
```

Output
SG = Fm-3m (225)
energy relative to the elements = -0.08 eV per formula unit
polymorph energy (0 for the lowest one) = 124.8 meV per atom
spin magnetization = 0.0 μB/f.u.
theoretical density = 8.61 g cm⁻³
final energy = -0.137 hartree per atom

Entry 7:
Computed, not measured: a relaxed TbSm3Al4 crystal at the PBE level of DFT. Values from VASP.

Cell and atoms, written as Quantum ESPRESSO input:
```
&SYSTEM
  ibrav = 0, nat = 8, ntyp = 3
/
ATOMIC_SPECIES
Tb 158.93 Tb.upf
Sm 150.36 Sm.upf
Al 26.98 Al.upf
CELL_PARAMETERS angstrom
3.662 0.000 0.000
0.000 3.662 0.000
0.000 0.000 14.662
ATOMIC_POSITIONS crystal
Tb 0.000 0.000 0.000
Sm 0.000 0.000 0.247
Sm 0.000 0.000 0.500
Sm 0.000 0.000 0.753
Al 0.500 0.500 0.120
Al 0.500 0.500 0.374
Al 0.500 0.500 0.626
Al 0.500 0.500 0.880
```

Output
SG = P4/mmm (123)
energy relative to the elements = -3.04 eV per formula unit
spin magnetization = 0.0 μB/f.u.
theoretical density = 6.06 g cm⁻³
final energy = -0.169 hartree per atom

Entry 8:
Computed, not measured: a relaxed K4CeSm3Se8 crystal at the PBE level of DFT. Values from VASP.

Cell and atoms, written as Quantum ESPRESSO input:
```
&SYSTEM
  ibrav = 0, nat = 16, ntyp = 4
/
ATOMIC_SPECIES
K 39.10 K.upf
Ce 140.12 Ce.upf
Sm 150.36 Sm.upf
Se 78.96 Se.upf
CELL_PARAMETERS angstrom
4.323 2.496 7.687
-4.323 2.496 7.687
0.000 -4.991 7.687
ATOMIC_POSITIONS crystal
K 0.000 0.000 0.000
K 0.000 0.500 0.500
K 0.500 0.000 0.500
K 0.500 0.500 0.000
Ce 0.500 0.500 0.500
Sm 0.000 0.000 0.500
Sm 0.000 0.500 0.000
Sm 0.500 0.000 0.000
Se 0.233 0.738 0.738
Se 0.236 0.236 0.236
Se 0.262 0.262 0.767
Se 0.262 0.767 0.262
Se 0.738 0.233 0.738
Se 0.738 0.738 0.233
Se 0.764 0.764 0.764
Se 0.767 0.262 0.262
```

Output
ΔE_f (raw) = -1741 meV per atom
SG = R-3m (166)
spin magnetization = 1.0 μB/f.u.
theoretical density = 4.60 g cm⁻³
final energy = -0.184 hartree per atom

Entry 9:
Computed, not measured: a relaxed Sr2CaAcS4 crystal at the PBE level of DFT. Values from VASP.

Cell and atoms, written as Quantum ESPRESSO input:
```
&SYSTEM
  ibrav = 0, nat = 8, ntyp = 4
/
ATOMIC_SPECIES
Sr 87.62 Sr.upf
Ca 40.08 Ca.upf
Ac 227.00 Ac.upf
S 32.06 S.upf
CELL_PARAMETERS angstrom
7.321 0.000 0.000
0.000 4.234 0.000
-2.443 0.000 6.931
ATOMIC_POSITIONS crystal
Sr 0.000 0.000 0.000
Sr 0.500 0.500 0.000
Ca 0.000 0.500 0.500
Ac 0.500 0.000 0.500
S 0.241 0.000 0.741
S 0.244 0.500 0.253
S 0.756 0.500 0.747
S 0.759 0.000 0.259
```

Output
ΔE_f (raw) = -2078 meV per atom
SG = P2/m (10)
spin magnetization = 0.0 μB/f.u.
theoretical density = 4.41 g cm⁻³
final energy = -0.196 hartree per atom

Entry 10:
Computed, not measured: a relaxed YCoC2N crystal at the PBE level of DFT. Values from VASP.

Cell and atoms, written as Quantum ESPRESSO input:
```
&SYSTEM
  ibrav = 0, nat = 5, ntyp = 4
/
ATOMIC_SPECIES
Y 88.91 Y.upf
Co 58.93 Co.upf
C 12.01 C.upf
N 14.01 N.upf
CELL_PARAMETERS angstrom
3.462 0.000 0.000
0.000 3.462 0.000
0.000 0.000 5.993
ATOMIC_POSITIONS crystal
Y 0.000 0.000 0.000
Co 0.000 0.000 0.500
C 0.000 0.500 0.500
C 0.500 0.000 0.500
N 0.500 0.500 0.000
```

Output
ΔE_f (raw) = 785 meV per atom
SG = P4/mmm (123)
spin magnetization = 0.0 μB/f.u.
theoretical density = 4.30 g cm⁻³
final energy = -0.268 hartree per atom

Entry 11:
Computed, not measured: a relaxed NaCdOs2O8 crystal at the PBE level of DFT. Values from VASP.

Cell and atoms, written as Quantum ESPRESSO input:
```
&SYSTEM
  ibrav = 0, nat = 12, ntyp = 4
/
ATOMIC_SPECIES
Na 22.99 Na.upf
Cd 112.41 Cd.upf
Os 190.23 Os.upf
O 16.00 O.upf
CELL_PARAMETERS angstrom
-2.640 2.640 5.928
2.640 -2.640 5.928
2.640 2.640 -5.928
ATOMIC_POSITIONS crystal
Na 0.000 0.000 0.000
Cd 0.250 0.750 0.500
Os 0.500 0.500 0.000
Os 0.750 0.250 0.500
O 0.266 0.658 0.088
O 0.342 0.430 0.608
O 0.430 0.013 0.093
O 0.570 0.178 0.912
O 0.663 0.570 0.584
O 0.822 0.734 0.392
O 0.920 0.337 0.907
O 0.987 0.080 0.416
```

Output
ΔE_f (raw) = -1042 meV per atom
SG = I-4 (82)
spin magnetization = 0.8 μB/f.u.
theoretical density = 6.47 g cm⁻³
final energy = -0.235 hartree per atom

Q: Among the records above, which one has the highest final energy?
A: Tb2DyCd